Run A
Entry from Alexandria via LeMat-Bulk: a relaxed YIn3Hg3 crystal (PBE).

Its magnetization is 0.0000 μB/atom. For the volume, the calculation gives 34.6 Å³/atom.

It has space group Pm-3n (No. 223), with a = 7.850 Å, b = 7.850 Å, c = 7.850 Å, α = 90.00°, β = 90.00° and γ = 90.00°. The distinct sites, in fractional coordinates, are Y at (0.000, 0.000, 0.000), In at (0.000, 0.250, 0.500) and Hg at (0.000, 0.500, 0.250).

---

Run B
Entry from Alexandria via LeMat-Bulk: a relaxed YIn3Hg3 crystal (PBE).

Its magnetization is 0.0000 μB/atom. For the volume, the calculation gives 26.9 Å³/atom.

It has space group C2/m (No. 12), with a = 10.273 Å, b = 8.385 Å, c = 8.743 Å, α = 90.00°, β = 90.67° and γ = 90.00°. The distinct sites, in fractional coordinates, are Y at (0.200, 0.000, 0.469), In at (0.000, 0.296, 0.000), In at (0.000, 0.316, 0.500), In at (0.241, 0.000, 0.048), Hg at (0.024, 0.000, 0.769) and Hg at (0.224, 0.291, 0.250).

---

The relative energies come out as run A 52.1; run B 0.0, with values in kJ/mol of atoms.